(1)
Density functional theory data (PBE) for a relaxed structure of Li5HgGe.

The structure in CIF format:
```
data_Li5HgGe
_space_group_name_H-M_alt 'C m c m'
_space_group_IT_number 63
_space_group_name_Hall '-C 2c 2'
_cell_length_a 7.329
_cell_length_b 6.053
_cell_length_c 10.929
_cell_angle_alpha 90.00
_cell_angle_beta 90.00
_cell_angle_gamma 90.00
loop_
_atom_site_label
_atom_site_type_symbol
_atom_site_fract_x
_atom_site_fract_y
_atom_site_fract_z
Li1 Li 0.000 0.063 0.250
Li2 Li 0.203 0.339 0.103
Hg1 Hg 0.000 0.380 0.750
Ge1 Ge 0.000 0.000 0.000
```

Results
The value obtained for the total magnetization is 0.00 μB per atom. As for the total energy: -2.359 eV/atom. The crystal system is orthorhombic. The energy of formation from the pure elements comes out at -0.289 eV per atom. The calculation puts the density at 4.22 g/cm³. As for the energy above the most stable polymorph in this dataset: 0.0 meV/atom.

=====

(2)
Density functional theory data (PBE) for a relaxed structure of ZnSi2Ag.

The structure in CIF format:
```
data_ZnSi2Ag
_space_group_name_H-M_alt 'I m m m'
_space_group_IT_number 71
_space_group_name_Hall '-I 2 2'
_cell_length_a 2.670
_cell_length_b 5.084
_cell_length_c 9.623
_cell_angle_alpha 90.00
_cell_angle_beta 90.00
_cell_angle_gamma 90.00
loop_
_atom_site_label
_atom_site_type_symbol
_atom_site_fract_x
_atom_site_fract_y
_atom_site_fract_z
Zn1 Zn 0.000 0.000 0.000
Si1 Si 0.000 0.500 0.254
Ag1 Ag 0.000 0.000 0.500
```

Results
The value obtained for the total magnetization is 0.00 μB per atom. The formation energy from raw total energies is 0.362 eV per atom. As for the total energy: -3.381 eV/atom. The crystal system is orthorhombic. The calculation puts the density at 5.83 g/cm³.

=====

(3)
Density functional theory data (PBE) for a relaxed structure of BeP2W.

The structure in CIF format:
```
data_BeP2W
_space_group_name_H-M_alt 'C m m m'
_space_group_IT_number 65
_space_group_name_Hall '-C 2 2'
_cell_length_a 3.153
_cell_length_b 4.819
_cell_length_c 7.167
_cell_angle_alpha 90.00
_cell_angle_beta 90.00
_cell_angle_gamma 90.00
loop_
_atom_site_label
_atom_site_type_symbol
_atom_site_fract_x
_atom_site_fract_y
_atom_site_fract_z
Be1 Be 0.000 0.000 0.000
P1 P 0.000 0.500 0.230
W1 W 0.000 0.000 0.500
```

Results
The value obtained for the total magnetization is 0.00 μB per atom. As for the total energy: -6.476 eV/atom. The crystal system is orthorhombic. The energy of formation from the pure elements comes out at 0.398 eV per atom. The calculation puts the density at 7.77 g/cm³.

=====

(4)
Density functional theory data (PBE) for a relaxed structure of Ca2PaH8.

The structure in CIF format:
```
data_Ca2PaH8
_space_group_name_H-M_alt 'I m m m'
_space_group_IT_number 71
_space_group_name_Hall '-I 2 2'
_cell_length_a 3.568
_cell_length_b 5.538
_cell_length_c 11.111
_cell_angle_alpha 90.00
_cell_angle_beta 90.00
_cell_angle_gamma 90.00
loop_
_atom_site_label
_atom_site_type_symbol
_atom_site_fract_x
_atom_site_fract_y
_atom_site_fract_z
Ca1 Ca 0.000 0.000 0.174
Pa1 Pa 0.000 0.000 0.500
H1 H 0.000 0.235 0.000
H2 H 0.000 0.252 0.345
H3 H 0.000 0.500 0.133
```

Results
The value obtained for the total magnetization is 0.09 μB per atom. As for the total energy: -4.151 eV/atom. The crystal system is orthorhombic. The calculation puts the density at 4.83 g/cm³.

=====

(5)
Density functional theory data (PBE) for a relaxed structure of ErTm2In5.

The structure in CIF format:
```
data_ErTm2In5
_space_group_name_H-M_alt 'I 4 m m'
_space_group_IT_number 107
_space_group_name_Hall 'I 4 -2'
_cell_length_a 7.046
_cell_length_b 7.046
_cell_length_c 8.213
_cell_angle_alpha 90.00
_cell_angle_beta 90.00
_cell_angle_gamma 90.00
loop_
_atom_site_label
_atom_site_type_symbol
_atom_site_fract_x
_atom_site_fract_y
_atom_site_fract_z
Er1 Er 0.000 0.000 0.000
Tm1 Tm 0.000 0.500 0.422
In1 In 0.000 0.000 0.391
In2 In 0.218 0.218 0.680
```

Results
The value obtained for the total magnetization is 0.00 μB per atom. As for the total energy: -3.777 eV/atom. The crystal system is tetragonal. The energy of formation from the pure elements comes out at -0.378 eV per atom. The calculation puts the density at 8.79 g/cm³.

=====

(6)
Density functional theory data (PBE) for a relaxed structure of Pr2TiTc2N6.

The structure in CIF format:
```
data_Pr2TiTc2N6
_space_group_name_H-M_alt 'R -3 m'
_space_group_IT_number 166
_space_group_name_Hall '-R 3 2"'
_cell_length_a 5.9333
_cell_length_b 5.9333
_cell_length_c 16.1397
_cell_angle_alpha 90.00
_cell_angle_beta 90.00
_cell_angle_gamma 120.00
loop_
_atom_site_label
_atom_site_type_symbol
_atom_site_fract_x
_atom_site_fract_y
_atom_site_fract_z
Pr1 Pr 0.0000 0.0000 0.2061
Ti1 Ti 0.0000 0.0000 0.0000
Tc1 Tc 0.0000 0.0000 0.4309
N1 N 0.0257 0.5129 0.7475
```

Results
The value obtained for the total magnetization is 0.00 μB per atom. The formation energy from raw total energies is -0.565 eV per atom. As for the total energy: -8.578 eV/atom. The crystal system is trigonal. The calculation puts the density at 6.17 g/cm³.

=====

(7)
Density functional theory data (PBE) for a relaxed structure of Y2Tm6Th.

The structure in CIF format:
```
data_Y2Tm6Th
_space_group_name_H-M_alt 'R 3 m'
_space_group_IT_number 160
_space_group_name_Hall 'R 3 -2"'
_cell_length_a 6.8454
_cell_length_b 6.8454
_cell_length_c 23.1641
_cell_angle_alpha 90.00
_cell_angle_beta 90.00
_cell_angle_gamma 120.00
loop_
_atom_site_label
_atom_site_type_symbol
_atom_site_fract_x
_atom_site_fract_y
_atom_site_fract_z
Y1 Y 0.0000 0.0000 0.0000
Y2 Y 0.0000 0.0000 0.1593
Tm1 Tm 0.0017 0.5009 0.9742
Tm2 Tm 0.1708 0.3415 0.5302
Th1 Th 0.0000 0.0000 0.7534
```

Results
The value obtained for the total magnetization is 0.00 μB per atom. As for the total energy: -4.818 eV/atom. The crystal system is trigonal. The energy of formation from the pure elements comes out at 0.424 eV per atom. The calculation puts the density at 7.54 g/cm³. As for the energy above the most stable polymorph in this dataset: 363.1 meV/atom.

=====

(8)
Density functional theory data (PBE) for a relaxed structure of LaH3Pt.

The structure in CIF format:
```
data_LaH3Pt
_space_group_name_H-M_alt 'P m -3 m'
_space_group_IT_number 221
_space_group_name_Hall '-P 4 2 3'
_cell_length_a 4.216
_cell_length_b 4.216
_cell_length_c 4.216
_cell_angle_alpha 90.00
_cell_angle_beta 90.00
_cell_angle_gamma 90.00
loop_
_atom_site_label
_atom_site_type_symbol
_atom_site_fract_x
_atom_site_fract_y
_atom_site_fract_z
La1 La 0.000 0.000 0.000
H1 H 0.000 0.000 0.500
Pt1 Pt 0.500 0.500 0.500
```

Results
The value obtained for the total magnetization is 0.00 μB per atom. As for the total energy: -3.765 eV/atom. The crystal system is cubic. The calculation puts the density at 7.47 g/cm³.

=====

Question: Which of these has the lowest density?
Answer: Li5HgGe